No. 1
Crystalline VGa2F at its relaxed geometry, computed with GGA+U.

Computed properties:
The offset from the most stable computed form is 6.79 kcal/mol of atoms. The magnetization comes out at 3.65 μB/f.u. The calculation puts the calculated volume at 16.95 Å³/atom.

abc: 6.4729 6.4729 6.4729
angles: 90.00 90.00 90.00
Last column: nearest neighbours and their distance in Å.
Space group Fm-3m (No. 225)
Unique sites:
1 V 0.0000 0.0000 0.0000 [4 per cell]  8 Ga 2.80
2 Ga 0.2500 0.2500 0.2500 [8 per cell]  4 F 2.80, 4 V 2.80
3 F 0.0000 0.0000 0.5000 [4 per cell]  8 Ga 2.80

---

No. 2
Crystalline V2GaF6 at its relaxed geometry, computed with GGA+U.

Computed properties:
The value obtained for the total energy is -5.73 eV per atom. The magnetization comes out at 5.00 μB/f.u. The calculation puts the calculated volume at 16.04 Å³/atom.

abc: 5.5249 5.5249 5.4597
angles: 90.00 90.00 120.00
Last column: nearest neighbours and their distance in Å.
Space group P-31m (No. 162)
Unique sites:
1 V 0.3333 0.6667 0.0000 [2 per cell]  6 F 2.05
2 Ga 0.0000 0.0000 0.5000 [1 per cell]  6 F 2.62
3 F 0.0000 0.3646 0.1935 [6 per cell]  2 V 2.05

---

No. 3
Crystalline VGa2F8 at its relaxed geometry, computed with GGA+U.

Computed properties:
The value obtained for the total energy is -5.11 eV per atom. The magnetization comes out at 3.00 μB/f.u. The calculation puts the calculated volume at 12.07 Å³/atom.

abc: 8.0806 6.4767 5.2010
angles: 90.00 102.79 90.00
Last column: nearest neighbours and their distance in Å.
Space group C2/m (No. 12)
Unique sites:
1 V 0.0000 0.0000 0.0000 [2 per cell]  6 F 2.06-2.17
2 Ga 0.1846 0.5000 0.4513 [4 per cell]  5 F 1.83-2.04
3 F 0.0623 0.5000 0.7293 [4 per cell]  2 Ga 1.92-2.01
4 F 0.1396 0.1884 0.3218 [8 per cell]  2 Ga 2.04-2.13, 1 V 2.17
5 F 0.2018 0.0000 0.8170 [4 per cell]  1 Ga 1.83

---

No. 4
Crystalline V2GaF at its relaxed geometry, computed with GGA+U.

Computed properties:
The offset from the most stable computed form is 3.29 kcal/mol of atoms. The magnetization comes out at 4.29 μB/f.u. The calculation puts the calculated volume at 15.38 Å³/atom.

abc: 6.2660 6.2660 6.2660
angles: 90.00 90.00 90.00
Last column: nearest neighbours and their distance in Å.
Space group Fm-3m (No. 225)
Unique sites:
1 V 0.2500 0.2500 0.2500 [8 per cell]  4 F 2.71, 4 Ga 2.71
2 Ga 0.0000 0.0000 0.0000 [4 per cell]  8 V 2.71
3 F 0.0000 0.0000 0.5000 [4 per cell]  8 V 2.71

---

No. 5
Crystalline VGaF2 at its relaxed geometry, computed with GGA+U.

Computed properties:
The offset from the most stable computed form is 19.77 kcal/mol of atoms. The magnetization comes out at 4.00 μB/f.u. The calculation puts the calculated volume at 14.27 Å³/atom.

abc: 6.1118 6.1118 6.1118
angles: 90.00 90.00 90.00
Last column: nearest neighbours and their distance in Å.
Space group Fm-3m (No. 225)
Unique sites:
1 V 0.0000 0.0000 0.0000 [4 per cell]  8 F 2.65
2 Ga 0.0000 0.0000 0.5000 [4 per cell]  8 F 2.65
3 F 0.2500 0.2500 0.2500 [8 per cell]  4 Ga 2.65, 4 V 2.65

---

No. 6
Crystalline VGaF at its relaxed geometry, computed with GGA+U.

Computed properties:
The value obtained for the total energy is -4.67 eV per atom. The magnetization comes out at 2.69 μB/f.u. The calculation puts the calculated volume at 16.15 Å³/atom.

abc: 11.6098 3.0452 5.4818
angles: 90.00 90.00 90.00
Last column: nearest neighbours and their distance in Å.
Space group Amm2 (No. 38)
Unique sites:
1 V 0.0000 0.0000 0.0000 [2 per cell]  2 F 1.96
2 V 0.5000 0.0000 0.2114 [2 per cell]  6 Ga 2.63-2.69
3 Ga 0.3293 0.0000 0.5274 [4 per cell]  2 F 2.41, 3 V 2.63-2.69
4 F 0.1687 0.0000 0.9975 [4 per cell]  1 V 1.96

---

No. 7
Crystalline VGaF5 at its relaxed geometry, computed with GGA+U.

Computed properties:
The value obtained for the total energy is -5.33 eV per atom. The magnetization comes out at 3.00 μB/f.u. The calculation puts the calculated volume at 14.21 Å³/atom.

abc: 7.5450 7.4357 7.8821
angles: 90.00 115.86 90.00
Last column: nearest neighbours and their distance in Å.
Space group C2/c (No. 15)
Unique sites:
1 V 0.0000 0.0816 0.2500 [4 per cell]  5 F 2.08-2.25
2 Ga 0.2500 0.2500 0.0000 [4 per cell]  6 F 1.86-2.06
3 F 0.0000 0.2204 0.7500 [4 per cell]  2 Ga 2.06, 1 V 2.25
4 F 0.1014 0.2852 0.1341 [8 per cell]  1 Ga 1.86, 1 V 2.08
5 F 0.2167 0.0023 0.5173 [8 per cell]  1 Ga 1.91, 1 V 2.11

---

No. 8
Crystalline VGaF2 at its relaxed geometry, computed with GGA+U.

Computed properties:
The offset from the most stable computed form is 0.00 kcal/mol of atoms. The magnetization comes out at 3.29 μB/f.u. The calculation puts the calculated volume at 19.58 Å³/atom.

abc: 3.2544 3.2544 25.6142
angles: 90.00 90.00 120.00
Last column: nearest neighbours and their distance in Å.
Space group R-3m (No. 166, hexagonal axes)
Unique sites:
1 V 0.0000 0.0000 0.0000 [3 per cell]  6 F 2.13
2 Ga 0.0000 0.0000 0.5000 [3 per cell]  6 Ga 3.25, 2 F 3.28
3 F 0.0000 0.0000 0.3721 [6 per cell]  3 V 2.13

---

No. 9
Crystalline GaWF3 at its relaxed geometry, computed with GGA+U.

Computed properties:
The offset from the most stable computed form is 15.64 kcal/mol of atoms. The magnetization comes out at 4.97 μB/f.u. The calculation puts the calculated volume at 15.09 Å³/atom.

abc: 4.2260 4.2260 4.2260
angles: 90.00 90.00 90.00
Last column: nearest neighbours and their distance in Å.
Space group Pm-3m (No. 221)
Unique sites:
1 Ga 0.0000 0.0000 0.0000 [1 per cell]  6 F 2.11
2 W 0.5000 0.5000 0.5000 [1 per cell]  12 F 2.99
3 F 0.0000 0.0000 0.5000 [3 per cell]  2 Ga 2.11

---

No. 10
Crystalline GaWF2 at its relaxed geometry, computed with GGA+U.

Computed properties:
The offset from the most stable computed form is 0.00 kcal/mol of atoms. The magnetization comes out at 0.93 μB/f.u. The calculation puts the calculated volume at 15.71 Å³/atom.

abc: 2.9110 2.9110 25.6925
angles: 90.00 90.00 120.00
Last column: nearest neighbours and their distance in Å.
Space group R-3m (No. 166, hexagonal axes)
Unique sites:
1 Ga 0.0000 0.0000 0.0000 [3 per cell]  6 F 2.86, 6 Ga 2.91
2 W 0.0000 0.0000 0.5000 [3 per cell]  2 F 1.97
3 F 0.0000 0.0000 0.4234 [6 per cell]  1 W 1.97

---

No. 11
Crystalline GaW3F at its relaxed geometry, computed with GGA+U.

Computed properties:
The offset from the most stable computed form is 0.00 kcal/mol of atoms. The magnetization comes out at 0.00 μB/f.u. The calculation puts the calculated volume at 15.93 Å³/atom.

abc: 4.3030 4.3030 4.3030
angles: 90.00 90.00 90.00
Last column: nearest neighbours and their distance in Å.
Space group Pm-3m (No. 221)
Unique sites:
1 Ga 0.0000 0.0000 0.0000 [1 per cell]  12 W 3.04
2 W 0.0000 0.5000 0.5000 [3 per cell]  2 F 2.15
3 F 0.5000 0.5000 0.5000 [1 per cell]  6 W 2.15

---

No. 12
Crystalline GaWF2 at its relaxed geometry, computed with GGA+U.

Computed properties:
The offset from the most stable computed form is 17.86 kcal/mol of atoms. The magnetization comes out at 0.00 μB/f.u. The calculation puts the calculated volume at 14.05 Å³/atom.

abc: 6.0806 6.0806 6.0806
angles: 90.00 90.00 90.00
Last column: nearest neighbours and their distance in Å.
Space group Fm-3m (No. 225)
Unique sites:
1 Ga 0.0000 0.0000 0.0000 [4 per cell]  8 F 2.63
2 W 0.0000 0.0000 0.5000 [4 per cell]  8 F 2.63
3 F 0.2500 0.2500 0.2500 [8 per cell]  4 W 2.63, 4 Ga 2.63

---

Q: Look up the calculated volume of the twelfth one.
A: 14.05 Å³/atom